Record 1
{
  "formula": "AsIrAuClO",
  "functional": "PBE",
  "state": "optimized geometry",
  "lattice": [[3.536, -0.011, 0.000], [-1.734, 6.014, -0.013], [-0.018, -3.137, 5.747]],
  "species": ["As", "Ir", "Au", "Cl", "O"],
  "fractional_positions": [[0.781, 0.120, 0.993], [0.261, 0.078, 0.221], [0.461, 0.480, 0.120], [0.435, 0.421, 0.586], [0.093, 0.743, 0.170]],
  "e_form_raw_ev_per_atom": -0.08,
  "sg": "P1 (1)",
  "dft_energy_ev_per_atom": -4.801,
  "relative_energy_ev_per_atom": 0.2149
}

Record 2
{
  "formula": "PmThScAg",
  "functional": "PBE",
  "state": "optimized geometry",
  "lattice": [[3.584, 0.000, 0.000], [0.000, 3.584, 0.000], [0.000, 0.000, 8.272]],
  "species": ["Pm", "Th", "Sc", "Ag"],
  "fractional_positions": [[0.500, 0.500, 0.792], [0.000, 0.000, 0.091], [0.500, 0.500, 0.357], [0.000, 0.000, 0.545]],
  "sg": "P4mm (99)",
  "dft_energy_ev_per_atom": -5.453
}